The following is a GGA-PBE calculation of a relaxed MoW3 crystal, from the Alexandria database. Values from VASP.

Quantum ESPRESSO input file:
```
&SYSTEM
  ibrav = 0, nat = 4, ntyp = 2
/
ATOMIC_SPECIES
W 183.84 W.upf
Mo 95.94 Mo.upf
CELL_PARAMETERS angstrom
-2.4372 0.3521 -1.0202
-1.0553 -1.3057 2.0704
-0.7859 7.9789 4.6313
ATOMIC_POSITIONS crystal
W 0.5000 0.5000 0.2504
W 0.0000 0.0000 0.5000
W 0.5000 0.5000 0.7496
Mo 0.0000 0.0000 0.0000
```

ρ: 16.343 g cm⁻³
total magnetization: 0.00 μB per cell
SG: P4/mmm (123)
raw total energy: -48.27 eV/f.u.
ΔE_f: 0.35 eV per atom

---

The following is a GGA-PBE calculation of a relaxed MoW2 crystal, from the Alexandria database. Values from VASP.

Quantum ESPRESSO input file:
```
&SYSTEM
  ibrav = 0, nat = 6, ntyp = 2
/
ATOMIC_SPECIES
W 183.84 W.upf
Mo 95.94 Mo.upf
CELL_PARAMETERS angstrom
3.1855 0.0000 0.0000
1.5927 6.7285 0.0000
0.0000 0.0000 4.4911
ATOMIC_POSITIONS crystal
W 0.5833 0.8334 0.2500
W 0.2500 0.5001 0.2500
W 0.4167 0.1666 0.7500
W 0.7500 0.4999 0.7500
Mo 0.9169 0.1663 0.2500
Mo 0.0831 0.8337 0.7500
```

ρ: 15.995 g cm⁻³
total magnetization: 0.00 μB per cell
SG: Cmcm (63)
raw total energy: -36.78 eV/f.u.
ΔE_f: -0.01 eV per atom

---

no.,excess energy over the best structure of this formula in the dataset (eV per formula unit)
1,1.48
2,0.00